Here is a relaxed structure of Ho12Tl5Ga2 from Alexandria via LeMat-Bulk. Energies are from PBE-GGA.

Cell and atoms, written as extended XYZ:
```
19
Lattice="7.052 0.000 0.000 -3.526 8.429 1.708 0.000 -0.922 8.965" Properties=species:S:1:pos:R:3 pbc="T T T"
Ho 3.526 7.695 3.246
Ho -1.789 4.931 9.542
Ho 1.789 4.931 9.542
Ho -1.743 5.402 5.828
Ho 1.743 5.402 5.828
Ho 0.000 7.777 7.959
Ho 3.526 -0.271 2.714
Ho 5.269 2.105 4.845
Ho 1.783 2.105 4.845
Ho 5.315 2.576 1.131
Ho 1.737 2.576 1.131
Ho 0.000 -0.188 7.428
Tl 0.000 3.085 7.513
Tl 0.000 4.759 3.173
Tl 0.000 -0.461 4.482
Tl 3.526 2.748 7.500
Tl 3.526 4.422 3.161
Ga 4.748 0.000 0.000
Ga 2.304 0.000 0.000
```

Computed properties:
* space group: C2/m (12)

Here is a relaxed structure of Tl3TeH from Alexandria via LeMat-Bulk. Energies are from PBE-GGA.

Cell and atoms, written as extended XYZ:
```
10
Lattice="2.128 7.696 -1.277 -2.128 7.696 -1.277 0.000 -0.180 9.618" Properties=species:S:1:pos:R:3 pbc="T T T"
Tl 0.000 7.909 1.701
Tl 0.000 13.092 -1.728
Tl 0.000 2.119 8.791
Tl 0.000 7.303 5.362
Tl 0.000 11.757 4.731
Tl 0.000 3.455 2.332
Te 0.000 13.404 1.874
Te 0.000 1.808 5.189
H 0.000 10.984 -1.308
H 0.000 4.227 8.371
```

Computed properties:
* polymorph energy (0 for the lowest one): 0 meV per atom
* space group: C2/m (12)

Short version: total magnetization = 0.00; 0.00 μB per atom, in the order given.
Short version: final energy = -4.03; -2.73 eV per atom, in the order given.